Entry 1:
Computed, not measured: a relaxed structure of MnCoTcW at the GGA-PBE level of DFT.

Cell: 6.049 6.049 6.049 Å, 90.00 90.00 90.00°
Space group F-43m (No. 216)
Inequivalent atoms, fractional coordinates:
Mn (0.000, 0.000, 0.000) [4 per cell]
Co (0.250, 0.250, 0.750) [4 per cell]
Tc (0.250, 0.250, 0.250) [4 per cell]
W (0.000, 0.000, 0.500) [4 per cell]

- volume (Å³ per atom) = 13.83
- total DFT energy (no corrections) (eV/atom) = -9.820



Entry 2:
Computed, not measured: a relaxed structure of MnCo2Te at the GGA-PBE level of DFT.

Cell: 5.283 8.499 3.006 Å, 90.00 119.50 90.00°
Space group C2/m (No. 12)
Inequivalent atoms, fractional coordinates:
Mn (0.000, 0.000, 0.000) [2 per cell]
Co (0.250, 0.250, 0.500) [4 per cell]
Te (0.000, 0.500, 0.000) [2 per cell]

- volume (Å³ per atom) = 14.68
- total DFT energy (no corrections) (eV/atom) = -6.186



Entry 3:
Computed, not measured: a relaxed structure of MnCo2Te at the GGA-PBE level of DFT.

Cell: 5.997 5.997 5.997 Å, 90.00 90.00 90.00°
Space group F-43m (No. 216)
Inequivalent atoms, fractional coordinates:
Mn (0.000, 0.000, 0.000) [4 per cell]
Co (0.000, 0.000, 0.500) [4 per cell]
Co (0.250, 0.250, 0.250) [4 per cell]
Te (0.250, 0.250, 0.750) [4 per cell]

- volume (Å³ per atom) = 13.48
- total DFT energy (no corrections) (eV/atom) = -6.307



Entry 4:
Computed, not measured: a relaxed structure of MnCoTe2 at the GGA-PBE level of DFT.

Cell: 6.012 6.012 12.098 Å, 90.00 90.00 90.00°
Space group I-42d (No. 122)
Inequivalent atoms, fractional coordinates:
Mn (0.000, 0.000, 0.000) [4 per cell]
Co (0.000, 0.000, 0.500) [4 per cell]
Te (0.232, 0.250, 0.625) [8 per cell]

- volume (Å³ per atom) = 27.33
- total DFT energy (no corrections) (eV/atom) = -5.601



Entry 5:
Computed, not measured: a relaxed structure of Mn2CoTe at the GGA-PBE level of DFT.

Cell: 3.700 3.700 4.009 Å, 90.00 90.00 90.00°
Space group P4/mmm (No. 123)
Inequivalent atoms, fractional coordinates:
Mn (0.000, 0.500, 0.000) [2 per cell]
Co (0.000, 0.000, 0.500) [1 per cell]
Te (0.500, 0.500, 0.500) [1 per cell]

- volume (Å³ per atom) = 13.72
- total DFT energy (no corrections) (eV/atom) = -6.932



Entry 6:
Computed, not measured: a relaxed structure of MnCo2Te at the GGA-PBE level of DFT.

Cell: 4.0548 4.0548 13.0259 Å, 90.00 90.00 120.00°
Space group R3m (No. 160, hexagonal axes)
Inequivalent atoms, fractional coordinates:
Mn (0.0000, 0.0000, 0.0000) [3 per cell]
Co (0.0000, 0.0000, 0.4116) [3 per cell]
Co (0.0000, 0.0000, 0.7963) [3 per cell]
Te (0.0000, 0.0000, 0.2143) [3 per cell]

- volume (Å³ per atom) = 15.46
- total DFT energy (no corrections) (eV/atom) = -6.437



Entry 7:
Computed, not measured: a relaxed structure of MnCoTe2 at the GGA-PBE level of DFT.

Cell: 4.578 5.166 7.066 Å, 90.00 90.00 90.00°
Space group Amm2 (No. 38)
Inequivalent atoms, fractional coordinates:
Mn (0.000, 0.000, 0.000) [2 per cell]
Co (0.500, 0.000, 0.818) [2 per cell]
Te (0.000, 0.000, 0.627) [2 per cell]
Te (0.500, 0.000, 0.192) [2 per cell]

- volume (Å³ per atom) = 20.89
- total DFT energy (no corrections) (eV/atom) = -5.605



Entry 8:
Computed, not measured: a relaxed structure of MnCoTe2 at the GGA-PBE level of DFT.

Cell: 3.6200 3.6200 24.2333 Å, 90.00 90.00 120.00°
Space group R-3m (No. 166, hexagonal axes)
Inequivalent atoms, fractional coordinates:
Mn (0.0000, 0.0000, 0.0000) [3 per cell]
Co (0.0000, 0.0000, 0.5000) [3 per cell]
Te (0.0000, 0.0000, 0.3989) [6 per cell]

- volume (Å³ per atom) = 22.92
- total DFT energy (no corrections) (eV/atom) = -5.252



Entry 9:
Computed, not measured: a relaxed structure of Mn2CoTe at the GGA-PBE level of DFT.

Cell: 3.630 3.995 8.208 Å, 90.00 90.00 90.00°
Space group Imm2 (No. 44)
Inequivalent atoms, fractional coordinates:
Mn (0.000, 0.000, 0.000) [2 per cell]
Mn (0.000, 0.500, 0.240) [2 per cell]
Co (0.000, 0.000, 0.508) [2 per cell]
Te (0.000, 0.500, 0.761) [2 per cell]

- volume (Å³ per atom) = 14.88
- total DFT energy (no corrections) (eV/atom) = -6.884



Entry 10:
Computed, not measured: a relaxed structure of MnCoTe2 at the GGA-PBE level of DFT.

Cell: 6.912 6.912 6.912 Å, 90.00 90.00 90.00°
Space group F-43m (No. 216)
Inequivalent atoms, fractional coordinates:
Mn (0.000, 0.000, 0.000) [4 per cell]
Co (0.250, 0.250, 0.250) [4 per cell]
Te (0.000, 0.000, 0.500) [4 per cell]
Te (0.250, 0.250, 0.750) [4 per cell]

- volume (Å³ per atom) = 20.64
- total DFT energy (no corrections) (eV/atom) = -4.871



Entry 11:
Computed, not measured: a relaxed structure of MnCoTe at the GGA-PBE level of DFT.

Cell: 4.1516 4.1516 3.3586 Å, 90.00 90.00 120.00°
Space group P3m1 (No. 156)
Inequivalent atoms, fractional coordinates:
Mn (0.0000, 0.0000, 0.0000) [1 per cell]
Co (0.3333, 0.6667, 0.6013) [1 per cell]
Te (0.6667, 0.3333, 0.4824) [1 per cell]

- volume (Å³ per atom) = 16.71
- energy above the lowest structure with this stoichiometry (meV per atom) = 361
- total DFT energy (no corrections) (eV/atom) = -6.194



Entry 12:
Computed, not measured: a relaxed structure of MnCo2Te at the GGA-PBE level of DFT.

Cell: 3.179 3.179 5.707 Å, 90.00 90.00 90.00°
Space group P4/mmm (No. 123)
Inequivalent atoms, fractional coordinates:
Mn (0.000, 0.000, 0.000) [1 per cell]
Co (0.500, 0.500, 0.235) [2 per cell]
Te (0.000, 0.000, 0.500) [1 per cell]

- volume (Å³ per atom) = 14.41
- total DFT energy (no corrections) (eV/atom) = -6.397



Entry 13:
Computed, not measured: a relaxed structure of MnCo2Te at the GGA-PBE level of DFT.

Cell: 2.950 3.883 5.528 Å, 90.00 90.32 90.00°
Space group P2/m (No. 10)
Inequivalent atoms, fractional coordinates:
Mn (0.000, 0.000, 0.000) [1 per cell]
Co (0.498, 0.500, 0.198) [2 per cell]
Te (0.500, 0.000, 0.500) [1 per cell]

- volume (Å³ per atom) = 15.83
- total DFT energy (no corrections) (eV/atom) = -6.292



Entry 14:
Computed, not measured: a relaxed structure of MnCo2Te at the GGA-PBE level of DFT.

Cell: 4.015 4.015 3.431 Å, 90.00 90.00 90.00°
Space group P4/mmm (No. 123)
Inequivalent atoms, fractional coordinates:
Mn (0.000, 0.000, 0.000) [1 per cell]
Co (0.000, 0.500, 0.500) [2 per cell]
Te (0.500, 0.500, 0.000) [1 per cell]

- volume (Å³ per atom) = 13.83
- total DFT energy (no corrections) (eV/atom) = -6.476



Entry 15:
Computed, not measured: a relaxed structure of MnCoTe2 at the GGA-PBE level of DFT.

Cell: 3.9176 3.9176 18.5780 Å, 90.00 90.00 120.00°
Space group R-3m (No. 166, hexagonal axes)
Inequivalent atoms, fractional coordinates:
Mn (0.0000, 0.0000, 0.0000) [3 per cell]
Co (0.0000, 0.0000, 0.5000) [3 per cell]
Te (0.0000, 0.0000, 0.2403) [6 per cell]

- volume (Å³ per atom) = 20.58
- total DFT energy (no corrections) (eV/atom) = -5.538



Entry 16:
Computed, not measured: a relaxed structure of MnCo4Te at the GGA-PBE level of DFT.

Cell: 6.868 6.868 6.868 Å, 90.00 90.00 90.00°
Space group F-43m (No. 216)
Inequivalent atoms, fractional coordinates:
Mn (0.000, 0.000, 0.000) [4 per cell]
Co (0.126, 0.126, 0.626) [16 per cell]
Te (0.250, 0.250, 0.250) [4 per cell]

- volume (Å³ per atom) = 13.50
- total DFT energy (no corrections) (eV/atom) = -6.548



Entry 17:
Computed, not measured: a relaxed structure of MnCo2Te at the GGA-PBE level of DFT.

Cell: 8.082 3.102 4.703 Å, 90.00 102.19 90.00°
Space group C2/m (No. 12)
Inequivalent atoms, fractional coordinates:
Mn (0.000, 0.000, 0.000) [2 per cell]
Co (0.246, 0.500, 0.232) [4 per cell]
Te (0.000, 0.500, 0.500) [2 per cell]

- volume (Å³ per atom) = 14.40
- total DFT energy (no corrections) (eV/atom) = -6.358



Entry 18:
Computed, not measured: a relaxed structure of MnCo7Te12 at the GGA-PBE level of DFT.

Cell: 14.5285 14.5285 7.2815 Å, 90.00 90.00 120.00°
Space group R-3 (No. 148, hexagonal axes)
Inequivalent atoms, fractional coordinates:
Mn (0.0000, 0.0000, 0.0000) [3 per cell]
Co (0.0000, 0.0000, 0.5000) [3 per cell]
Co (0.0413, 0.1916, 0.9188) [18 per cell]
Te (0.0093, 0.4509, 0.3094) [18 per cell]
Te (0.0316, 0.1499, 0.2755) [18 per cell]

- volume (Å³ per atom) = 22.18
- total DFT energy (no corrections) (eV/atom) = -4.880



Entry 19:
Computed, not measured: a relaxed structure of MnCo2Te at the GGA-PBE level of DFT.

Cell: 3.362 3.362 5.163 Å, 90.00 90.00 90.00°
Space group P4mm (No. 99)
Inequivalent atoms, fractional coordinates:
Mn (0.000, 0.000, 0.000) [1 per cell]
Co (0.000, 0.000, 0.523) [1 per cell]
Co (0.500, 0.500, 0.821) [1 per cell]
Te (0.500, 0.500, 0.327) [1 per cell]

- volume (Å³ per atom) = 14.59
- total DFT energy (no corrections) (eV/atom) = -6.346



Entry 20:
Computed, not measured: a relaxed structure of MnCoTe2 at the GGA-PBE level of DFT.

Cell: 3.518 3.518 7.239 Å, 90.00 90.00 90.00°
Space group P4mm (No. 99)
Inequivalent atoms, fractional coordinates:
Mn (0.000, 0.000, 0.000) [1 per cell]
Co (0.500, 0.500, 0.804) [1 per cell]
Te (0.000, 0.000, 0.651) [1 per cell]
Te (0.500, 0.500, 0.153) [1 per cell]

- volume (Å³ per atom) = 22.40
- total DFT energy (no corrections) (eV/atom) = -5.642



Entry 21:
Computed, not measured: a relaxed structure of MnCoTe at the GGA-PBE level of DFT.

Cell: 5.889 5.889 5.889 Å, 90.00 90.00 90.00°
Space group F-43m (No. 216)
Inequivalent atoms, fractional coordinates:
Mn (0.000, 0.000, 0.000) [4 per cell]
Co (0.250, 0.250, 0.250) [4 per cell]
Te (0.250, 0.250, 0.750) [4 per cell]

- volume (Å³ per atom) = 17.02
- energy above the lowest structure with this stoichiometry (meV per atom) = 323
- total DFT energy (no corrections) (eV/atom) = -6.233



Entry 22:
Computed, not measured: a relaxed structure of Mn2CoTe at the GGA-PBE level of DFT.

Cell: 6.008 6.008 6.008 Å, 90.00 90.00 90.00°
Space group F-43m (No. 216)
Inequivalent atoms, fractional coordinates:
Mn (0.000, 0.000, 0.000) [4 per cell]
Mn (0.250, 0.250, 0.250) [4 per cell]
Co (0.250, 0.250, 0.750) [4 per cell]
Te (0.000, 0.000, 0.500) [4 per cell]

- volume (Å³ per atom) = 13.55
- total DFT energy (no corrections) (eV/atom) = -6.939



Entry 23:
Computed, not measured: a relaxed structure of Mn2CoTe at the GGA-PBE level of DFT.

Cell: 3.2123 3.2123 22.5589 Å, 90.00 90.00 120.00°
Space group R-3m (No. 166, hexagonal axes)
Inequivalent atoms, fractional coordinates:
Mn (0.0000, 0.0000, 0.2401) [6 per cell]
Co (0.0000, 0.0000, 0.5000) [3 per cell]
Te (0.0000, 0.0000, 0.0000) [3 per cell]

- volume (Å³ per atom) = 16.80
- total DFT energy (no corrections) (eV/atom) = -6.717



Entry 24:
Computed, not measured: a relaxed structure of MnCoTe2 at the GGA-PBE level of DFT.

Cell: 3.888 3.892 6.525 Å, 90.00 90.11 90.00°
Space group Pm (No. 6)
Inequivalent atoms, fractional coordinates:
Mn (0.000, 0.000, 0.000) [1 per cell]
Co (0.501, 0.500, 0.000) [1 per cell]
Te (0.002, 0.500, 0.259) [1 per cell]
Te (0.499, 0.000, 0.740) [1 per cell]

- volume (Å³ per atom) = 24.69
- total DFT energy (no corrections) (eV/atom) = -5.750



Entry 25:
Computed, not measured: a relaxed structure of MnCoTe2 at the GGA-PBE level of DFT.

Cell: 3.820 3.820 11.097 Å, 90.00 90.00 90.00°
Space group I-4m2 (No. 119)
Inequivalent atoms, fractional coordinates:
Mn (0.000, 0.000, 0.000) [2 per cell]
Co (0.000, 0.500, 0.250) [2 per cell]
Te (0.000, 0.000, 0.500) [2 per cell]
Te (0.000, 0.500, 0.750) [2 per cell]

- volume (Å³ per atom) = 20.24
- total DFT energy (no corrections) (eV/atom) = -5.181



Entry 26:
Computed, not measured: a relaxed structure of Mn3CoTe at the GGA-PBE level of DFT.

Cell: 4.555 4.555 4.555 Å, 90.00 90.00 90.00°
Space group Pm-3m (No. 221)
Inequivalent atoms, fractional coordinates:
Mn (0.000, 0.000, 0.500) [3 per cell]
Co (0.000, 0.000, 0.000) [1 per cell]
Te (0.500, 0.500, 0.500) [1 per cell]

- volume (Å³ per atom) = 18.91
- energy above the lowest structure with this stoichiometry (meV per atom) = 0
- total DFT energy (no corrections) (eV/atom) = -6.897



Entry 27:
Computed, not measured: a relaxed structure of MnCo2Te at the GGA-PBE level of DFT.

Cell: 3.696 3.696 8.061 Å, 90.00 90.00 90.00°
Space group I-4m2 (No. 119)
Inequivalent atoms, fractional coordinates:
Mn (0.000, 0.000, 0.000) [2 per cell]
Co (0.000, 0.000, 0.500) [2 per cell]
Co (0.000, 0.500, 0.250) [2 per cell]
Te (0.000, 0.500, 0.750) [2 per cell]

- volume (Å³ per atom) = 13.77
- total DFT energy (no corrections) (eV/atom) = -6.438



Entry 28:
Computed, not measured: a relaxed structure of Mn2CoTe at the GGA-PBE level of DFT.

Cell: 3.371 3.384 5.432 Å, 90.00 90.00 90.00°
Space group Pmm2 (No. 25)
Inequivalent atoms, fractional coordinates:
Mn (0.000, 0.000, 0.000) [1 per cell]
Mn (0.500, 0.500, 0.253) [1 per cell]
Co (0.000, 0.000, 0.447) [1 per cell]
Te (0.500, 0.500, 0.750) [1 per cell]

- volume (Å³ per atom) = 15.49
- total DFT energy (no corrections) (eV/atom) = -6.837



Entry 29:
Computed, not measured: a relaxed structure of MnCoTe at the GGA-PBE level of DFT.

Cell: 3.464 3.464 7.856 Å, 90.00 90.00 90.00°
Space group I4mm (No. 107)
Inequivalent atoms, fractional coordinates:
Mn (0.000, 0.000, 0.000) [2 per cell]
Co (0.000, 0.000, 0.346) [2 per cell]
Te (0.000, 0.000, 0.672) [2 per cell]

- volume (Å³ per atom) = 15.71
- energy above the lowest structure with this stoichiometry (meV per atom) = 349
- total DFT energy (no corrections) (eV/atom) = -6.206



Entry 30:
Computed, not measured: a relaxed structure of MnCoTe2 at the GGA-PBE level of DFT.

Cell: 4.527 3.813 5.376 Å, 90.00 96.39 90.00°
Space group P2/m (No. 10)
Inequivalent atoms, fractional coordinates:
Mn (0.000, 0.000, 0.000) [1 per cell]
Co (0.000, 0.000, 0.500) [1 per cell]
Te (0.267, 0.500, 0.728) [2 per cell]

- volume (Å³ per atom) = 23.05
- total DFT energy (no corrections) (eV/atom) = -5.423